Entry 1:
Here is crystalline BaNaEuAl at its relaxed geometry from Alexandria. Energies are from GGA-PBE.

a b c (Å): 5.8813 5.8813 5.8813
angles (deg): 60.00 60.00 60.00
Closest atoms and distances in Å follow each position.
Sites, in units of the cell vectors:
Ba1 0.0000 0.0000 0.0000  4 Na 3.60, 4 Al 3.60
Na1 0.7500 0.7500 0.7500  4 Ba 3.60, 4 Eu 3.60
Eu1 0.5000 0.5000 0.5000  4 Na 3.60, 4 Al 3.60
Al1 0.2500 0.2500 0.2500  4 Ba 3.60, 4 Eu 3.60

Computed properties:
- Crystal system: cubic
- Symmetry: F-43m, No. 216
- Calculated total energy: -17.268 eV per cell

Entry 2:
Here is crystalline BaEuAlZn at its relaxed geometry from Alexandria. Energies are from GGA-PBE.

a b c (Å): 5.6111 5.6111 5.6111
angles (deg): 60.00 60.00 60.00
Closest atoms and distances in Å follow each position.
Sites, in units of the cell vectors:
Ba1 0.0000 0.0000 0.0000  4 Al 3.44, 4 Zn 3.44
Eu1 0.5000 0.5000 0.5000  4 Al 3.44, 4 Zn 3.44
Al1 0.7500 0.7500 0.7500  4 Ba 3.44, 4 Eu 3.44
Zn1 0.2500 0.2500 0.2500  4 Ba 3.44, 4 Eu 3.44

Computed properties:
- Crystal system: cubic
- Symmetry: F-43m, No. 216
- Calculated total energy: -17.733 eV per cell

Entry 3:
Here is crystalline BaAlF5 at its relaxed geometry from Alexandria. Energies are from GGA-PBE.

a b c (Å): 5.0846 5.6817 13.9335
angles (deg): 90.00 90.00 90.00
Closest atoms and distances in Å follow each position.
Sites, in units of the cell vectors:
Ba1 0.2343 0.1605 0.3460  8 F 2.66-2.97
Ba2 0.2657 0.8395 0.8460  8 F 2.66-2.97
Ba3 0.7343 0.3395 0.6540  8 F 2.66-2.97
Ba4 0.7657 0.6605 0.1540  8 F 2.66-2.97
Al1 0.1929 0.1574 0.0866  6 F 1.79-1.90
Al2 0.3071 0.8426 0.5866  6 F 1.79-1.90
Al3 0.6929 0.3426 0.9134  6 F 1.79-1.90
Al4 0.8071 0.6574 0.4134  6 F 1.79-1.90
F1 0.0358 0.8309 0.4952  2 Al 1.88-1.90
F2 0.0722 0.6463 0.3247  1 Al 1.83
F3 0.0800 0.8938 0.0289  1 Al 1.79
F4 0.1079 0.0136 0.6690  1 Al 1.81
F5 0.2036 0.5706 0.6402  1 Al 1.80
F6 0.2964 0.4294 0.1402  1 Al 1.80
F7 0.3921 0.9864 0.1690  1 Al 1.81
F8 0.4200 0.1062 0.5289  1 Al 1.79
F9 0.4278 0.3537 0.8247  1 Al 1.83
F10 0.4642 0.1691 0.9952  2 Al 1.88-1.90
F11 0.5358 0.6691 0.5048  2 Al 1.88-1.90
F12 0.5722 0.8537 0.6753  1 Al 1.83
F13 0.5800 0.6062 0.9711  1 Al 1.79
F14 0.6079 0.4864 0.3310  1 Al 1.81
F15 0.7036 0.9294 0.3598  1 Al 1.80
F16 0.7964 0.0706 0.8598  1 Al 1.80
F17 0.8921 0.5136 0.8310  1 Al 1.81
F18 0.9200 0.3938 0.4711  1 Al 1.79
F19 0.9278 0.1463 0.1753  1 Al 1.83
F20 0.9642 0.3309 0.0048  2 Al 1.88-1.90

Computed properties:
- Crystal system: orthorhombic
- Symmetry: P2_12_12_1, No. 19
- Raw formation energy: -3.743 eV per atom

Entry 4:
Here is crystalline Ba3AlF9 at its relaxed geometry from Alexandria. Energies are from GGA-PBE.

a b c (Å): 20.1618 5.6242 15.4346
angles (deg): 90.00 90.00 90.00
Closest atoms and distances in Å follow each position.
Sites, in units of the cell vectors:
Ba1 0.0025 0.2500 0.1231  5 F 2.55-2.82
Ba2 0.0299 0.7500 0.5935  7 F 2.63-2.70
Ba3 0.1061 0.7500 0.3086  6 F 2.69-2.82
Ba4 0.1774 0.2500 0.4944  7 F 2.62-2.77
Ba5 0.1827 0.2500 0.9256  4 F 2.52-2.79
Ba6 0.2432 0.7500 0.7081  7 F 2.65-2.85
Ba7 0.2568 0.2500 0.2081  7 F 2.65-2.85
Ba8 0.3173 0.7500 0.4256  4 F 2.52-2.79
Ba9 0.3226 0.7500 0.9944  7 F 2.62-2.77
Ba10 0.3939 0.2500 0.8086  6 F 2.69-2.82
Ba11 0.4701 0.2500 0.0935  7 F 2.63-2.70
Ba12 0.4975 0.7500 0.6231  5 F 2.55-2.82
Ba13 0.5025 0.2500 0.3769  5 F 2.55-2.82
Ba14 0.5299 0.7500 0.9065  7 F 2.63-2.70
Ba15 0.6061 0.7500 0.1914  6 F 2.69-2.82
Ba16 0.6774 0.2500 0.0056  7 F 2.62-2.77
Ba17 0.6827 0.2500 0.5744  4 F 2.52-2.79
Ba18 0.7432 0.7500 0.7919  7 F 2.65-2.85
Ba19 0.7568 0.2500 0.2919  7 F 2.65-2.85
Ba20 0.8173 0.7500 0.0744  4 F 2.52-2.79
Ba21 0.8226 0.7500 0.5056  7 F 2.62-2.77
Ba22 0.8939 0.2500 0.6914  6 F 2.69-2.82
Ba23 0.9701 0.2500 0.4065  7 F 2.63-2.70
Ba24 0.9975 0.7500 0.8769  5 F 2.55-2.82
Al1 0.1120 0.2500 0.7222  6 F 1.81-1.84
Al2 0.1197 0.7500 0.0739  6 F 1.82-1.86
Al3 0.3803 0.2500 0.5739  6 F 1.82-1.86
Al4 0.3880 0.7500 0.2222  6 F 1.81-1.84
Al5 0.6120 0.2500 0.7778  6 F 1.81-1.84
Al6 0.6197 0.7500 0.4261  6 F 1.82-1.86
Al7 0.8803 0.2500 0.9261  6 F 1.82-1.86
Al8 0.8880 0.7500 0.2778  6 F 1.81-1.84
F1 0.0284 0.2500 0.6794  1 Al 1.81
F2 0.0459 0.7500 0.1439  1 Al 1.84
F3 0.0532 0.2500 0.2744  2 Ba 2.55-2.64
F4 0.0728 0.5057 0.4550  4 Ba 2.62-2.73, 2 F 2.75-2.88
F5 0.0728 0.9943 0.4550  4 Ba 2.62-2.73, 2 F 2.75-2.88
F6 0.0794 0.5184 0.0064  1 Al 1.86
F7 0.0794 0.9816 0.0064  1 Al 1.86
F8 0.0967 0.0202 0.8035  1 Al 1.83
F9 0.0967 0.4798 0.8035  1 Al 1.83
F10 0.1342 0.0189 0.6429  1 Al 1.84
F11 0.1342 0.4811 0.6429  1 Al 1.84
F12 0.1569 0.5227 0.1426  1 Al 1.82
F13 0.1569 0.9773 0.1426  1 Al 1.82
F14 0.1887 0.7500 0.9967  1 Al 1.83
F15 0.1999 0.2500 0.7513  1 Al 1.83
F16 0.2131 0.0084 0.3536  4 Ba 2.66-2.79, 3 F 2.72-2.91
F17 0.2131 0.4916 0.3536  4 Ba 2.66-2.79, 3 F 2.72-2.91
F18 0.2268 0.7500 0.5379  2 Ba 2.52-2.65
F19 0.2732 0.2500 0.0379  2 Ba 2.52-2.65
F20 0.2869 0.5084 0.8536  4 Ba 2.66-2.79, 3 F 2.72-2.91
F21 0.2869 0.9916 0.8536  4 Ba 2.66-2.79, 3 F 2.72-2.91
F22 0.3001 0.7500 0.2513  1 Al 1.83
F23 0.3113 0.2500 0.4967  1 Al 1.83
F24 0.3431 0.0227 0.6426  1 Al 1.82
F25 0.3431 0.4773 0.6426  1 Al 1.82
F26 0.3658 0.5189 0.1429  1 Al 1.84
F27 0.3658 0.9811 0.1429  1 Al 1.84
F28 0.4033 0.5202 0.3035  1 Al 1.83
F29 0.4033 0.9798 0.3035  1 Al 1.83
F30 0.4206 0.0184 0.5064  1 Al 1.86
F31 0.4206 0.4816 0.5064  1 Al 1.86
F32 0.4272 0.0057 0.9550  4 Ba 2.62-2.73, 2 F 2.75-2.88
F33 0.4272 0.4943 0.9550  4 Ba 2.62-2.73, 2 F 2.75-2.88
F34 0.4468 0.7500 0.7744  2 Ba 2.55-2.64
F35 0.4541 0.2500 0.6439  1 Al 1.84
F36 0.4716 0.7500 0.1794  1 Al 1.81
F37 0.5284 0.2500 0.8206  1 Al 1.81
F38 0.5459 0.7500 0.3561  1 Al 1.84
F39 0.5532 0.2500 0.2256  2 Ba 2.55-2.64
F40 0.5728 0.5057 0.0450  4 Ba 2.62-2.73, 2 F 2.75-2.88
F41 0.5728 0.9943 0.0450  4 Ba 2.62-2.73, 2 F 2.75-2.88
F42 0.5794 0.5184 0.4936  1 Al 1.86
F43 0.5794 0.9816 0.4936  1 Al 1.86
F44 0.5967 0.0202 0.6965  1 Al 1.83
F45 0.5967 0.4798 0.6965  1 Al 1.83
F46 0.6342 0.0189 0.8571  1 Al 1.84
F47 0.6342 0.4811 0.8571  1 Al 1.84
F48 0.6569 0.5227 0.3574  1 Al 1.82
F49 0.6569 0.9773 0.3574  1 Al 1.82
F50 0.6887 0.7500 0.5033  1 Al 1.83
F51 0.6999 0.2500 0.7487  1 Al 1.83
F52 0.7131 0.0084 0.1464  4 Ba 2.66-2.79, 3 F 2.72-2.91
F53 0.7131 0.4916 0.1464  4 Ba 2.66-2.79, 3 F 2.72-2.91
F54 0.7268 0.7500 0.9621  2 Ba 2.52-2.65
F55 0.7732 0.2500 0.4621  2 Ba 2.52-2.65
F56 0.7869 0.5084 0.6464  4 Ba 2.66-2.79, 3 F 2.72-2.91
F57 0.7869 0.9916 0.6464  4 Ba 2.66-2.79, 3 F 2.72-2.91
F58 0.8001 0.7500 0.2487  1 Al 1.83
F59 0.8113 0.2500 0.0033  1 Al 1.83
F60 0.8431 0.0227 0.8574  1 Al 1.82
F61 0.8431 0.4773 0.8574  1 Al 1.82
F62 0.8658 0.5189 0.3571  1 Al 1.84
F63 0.8658 0.9811 0.3571  1 Al 1.84
F64 0.9033 0.5202 0.1965  1 Al 1.83
F65 0.9033 0.9798 0.1965  1 Al 1.83
F66 0.9206 0.0184 0.9936  1 Al 1.86
F67 0.9206 0.4816 0.9936  1 Al 1.86
F68 0.9272 0.0057 0.5450  4 Ba 2.62-2.73, 2 F 2.75-2.88
F69 0.9272 0.4943 0.5450  4 Ba 2.62-2.73, 2 F 2.75-2.88
F70 0.9468 0.7500 0.7256  2 Ba 2.55-2.64
F71 0.9541 0.2500 0.8561  1 Al 1.84
F72 0.9716 0.7500 0.3206  1 Al 1.81

Computed properties:
- Crystal system: orthorhombic
- Symmetry: Pnma, No. 62
- Raw formation energy: -3.801 eV per atom

Entry 5:
Here is crystalline BaAlF5 at its relaxed geometry from Alexandria. Energies are from GGA-PBE.

a b c (Å): 5.8473 5.8473 7.8380
angles (deg): 107.64 107.64 73.85
Closest atoms and distances in Å follow each position.
Sites, in units of the cell vectors:
Ba1 0.0460 0.9540 0.7500  7 F 2.57-2.85
Ba2 0.9540 0.0460 0.2500  7 F 2.57-2.85
Al1 0.5000 0.5000 0.0000  4 F 1.77-1.83
Al2 0.5000 0.5000 0.5000  4 F 1.77-1.83
F1 0.2311 0.7453 0.0282  1 Al 1.83
F2 0.2547 0.7689 0.4718  1 Al 1.83
F3 0.2799 0.3115 0.4055  1 Al 1.77
F4 0.3115 0.2799 0.9055  1 Al 1.77
F5 0.4513 0.5487 0.7500  2 Al 1.99
F6 0.5487 0.4513 0.2500  2 Al 1.99
F7 0.6885 0.7201 0.0945  1 Al 1.77
F8 0.7201 0.6885 0.5945  1 Al 1.77
F9 0.7453 0.2311 0.5282  1 Al 1.83
F10 0.7689 0.2547 0.9718  1 Al 1.83

Computed properties:
- Crystal system: monoclinic
- Symmetry: C2/c, No. 15
- Raw formation energy: -3.682 eV per atom